A plane-wave DFT calculation with PBE was carried out for Na2LaSiAu after structural relaxation.

Formation energy (no corrections) in eV/atom: 0.160
Theoretical density in g/cm³: 5.1

Cell: 5.3177 4.7491 5.3177 Å, 90.00 90.00 90.00°
Atoms (fractional coordinates):
Na: 0.0000 0.0000 0.5000
Na: 0.5000 0.0000 0.0000
Si: 0.0000 0.0000 0.0000
Au: 0.0000 0.5000 0.0000
La: 0.5000 0.5000 0.5000